No. 1
Crystalline AlRe2Cl at its relaxed geometry. Source: the Alexandria database, functional GGA-PBE.

Values from the calculation:
crystal system	tetragonal
calculated volume	14.48	A^3/atom
energy above the lowest structure with this stoichiometry	961.4	meV per atom

Cell lengths 4.406, 4.406, 2.982 Å; angles 90.00, 90.00, 90.00 degrees
Fractional coordinates of all 4 atoms:
1 Al 0.000 0.000 0.000
2 Re 0.000 0.500 0.500
3 Re 0.500 0.000 0.500
4 Cl 0.500 0.500 0.000

=====

No. 2
Crystalline Nb8Ge2C3 at its relaxed geometry. Source: the Alexandria database, functional GGA-PBE.

Values from the calculation:
crystal system	monoclinic
calculated volume	16.68	A^3/atom
uncorrected energy	-9.21	eV per atom

Cell lengths 7.103, 7.103, 5.485 Å; angles 101.58, 101.58, 53.55 degrees
Fractional coordinates of all 13 atoms:
1 Nb 0.094 0.094 0.410
2 Nb 0.153 0.655 0.113
3 Nb 0.345 0.847 0.887
4 Nb 0.401 0.401 0.615
5 Nb 0.599 0.599 0.385
6 Nb 0.655 0.153 0.113
7 Nb 0.847 0.345 0.887
8 Nb 0.906 0.906 0.590
9 Ge 0.247 0.247 0.170
10 Ge 0.753 0.753 0.830
11 C 0.265 0.735 0.500
12 C 0.500 0.500 0.000
13 C 0.735 0.265 0.500

=====

No. 3
Crystalline LaPm6NdSm2 at its relaxed geometry. Source: the Alexandria database, functional GGA-PBE.

Values from the calculation:
crystal system	monoclinic
calculated volume	35.09	A^3/atom
uncorrected energy	-4.65	eV per atom

Cell lengths 8.996, 8.996, 9.945 Å; angles 94.44, 94.44, 118.10 degrees
Fractional coordinates of all 20 atoms:
1 La 0.095 0.905 0.750
2 La 0.905 0.095 0.250
3 Pm 0.006 0.795 0.378
4 Pm 0.071 0.525 0.181
5 Pm 0.205 0.994 0.122
6 Pm 0.249 0.616 0.556
7 Pm 0.384 0.751 0.944
8 Pm 0.475 0.929 0.319
9 Pm 0.525 0.071 0.681
10 Pm 0.616 0.249 0.056
11 Pm 0.751 0.384 0.444
12 Pm 0.795 0.006 0.878
13 Pm 0.929 0.475 0.819
14 Pm 0.994 0.205 0.622
15 Nd 0.477 0.523 0.250
16 Nd 0.523 0.477 0.750
17 Sm 0.209 0.308 0.957
18 Sm 0.308 0.209 0.457
19 Sm 0.692 0.791 0.543
20 Sm 0.791 0.692 0.043

=====

No. 4
Crystalline ScTcP2 at its relaxed geometry. Source: the Alexandria database, functional GGA-PBE.

Values from the calculation:
crystal system	monoclinic
calculated volume	15.18	A^3/atom
energy above the lowest structure with this stoichiometry	180.3	meV per atom

Cell lengths 3.153, 4.369, 4.636 Å; angles 90.00, 108.11, 90.00 degrees
Fractional coordinates of all 4 atoms:
1 Sc 0.000 0.000 0.000
2 Tc 0.729 0.500 0.476
3 P 0.330 0.000 0.546
4 P 0.433 0.500 0.900

=====

No. 5
Crystalline Zr2CdCo at its relaxed geometry. Source: the Alexandria database, functional GGA-PBE.

Values from the calculation:
crystal system	tetragonal
calculated volume	20.14	A^3/atom
uncorrected energy	-6.14	eV per atom

Cell lengths 6.036, 6.036, 6.036 Å; angles 102.78, 102.78, 123.88 degrees
Fractional coordinates of all 8 atoms:
1 Zr 0.068 0.625 0.943
2 Zr 0.375 0.318 0.443
3 Zr 0.682 0.125 0.057
4 Zr 0.875 0.932 0.557
5 Cd 0.250 0.750 0.500
6 Cd 0.500 0.500 0.000
7 Co 0.000 0.000 0.000
8 Co 0.750 0.250 0.500

=====

No. 6
Crystalline Tm4Al3Ni at its relaxed geometry. Source: the Alexandria database, functional GGA-PBE.

Values from the calculation:
crystal system	tetragonal
calculated volume	21.43	A^3/atom
uncorrected energy	-4.77	eV per atom

Cell lengths 3.448, 3.448, 14.420 Å; angles 90.00, 90.00, 90.00 degrees
Fractional coordinates of all 8 atoms:
1 Tm 0.000 0.000 0.110
2 Tm 0.000 0.000 0.369
3 Tm 0.000 0.000 0.631
4 Tm 0.000 0.000 0.890
5 Al 0.500 0.500 0.241
6 Al 0.500 0.500 0.500
7 Al 0.500 0.500 0.759
8 Ni 0.500 0.500 0.000

=====

No. 7
Crystalline Ac6CoIr2I2 at its relaxed geometry. Source: the Alexandria database, functional GGA-PBE.

Values from the calculation:
crystal system	monoclinic
calculated volume	38.84	A^3/atom
uncorrected energy	-5.52	eV per atom

Cell lengths 7.553, 7.553, 9.011 Å; angles 98.00, 98.00, 120.09 degrees
Fractional coordinates of all 11 atoms:
1 Ac 0.060 0.388 0.180
2 Ac 0.266 0.266 0.821
3 Ac 0.388 0.060 0.180
4 Ac 0.612 0.940 0.820
5 Ac 0.734 0.734 0.179
6 Ac 0.940 0.612 0.820
7 Co 0.000 0.000 0.000
8 Ir 0.331 0.669 0.000
9 Ir 0.669 0.331 0.000
10 I 0.166 0.834 0.500
11 I 0.834 0.166 0.500

=====

No. 8
Crystalline NdDy5Y3 at its relaxed geometry. Source: the Alexandria database, functional GGA-PBE.

Values from the calculation:
crystal system	monoclinic
calculated volume	33.93	A^3/atom
energy above the lowest structure with this stoichiometry	0.0	meV per atom

Cell lengths 9.702, 9.702, 11.326 Å; angles 111.31, 111.31, 38.36 degrees
Fractional coordinates of all 18 atoms:
1 Nd 0.139 0.861 0.750
2 Nd 0.861 0.139 0.250
3 Dy 0.129 0.533 0.788
4 Dy 0.149 0.529 0.487
5 Dy 0.394 0.606 0.250
6 Dy 0.467 0.871 0.712
7 Dy 0.471 0.851 0.013
8 Dy 0.529 0.149 0.987
9 Dy 0.533 0.129 0.288
10 Dy 0.606 0.394 0.750
11 Dy 0.851 0.471 0.513
12 Dy 0.871 0.467 0.212
13 Y 0.000 0.000 0.000
14 Y 0.000 0.000 0.500
15 Y 0.005 0.655 0.130
16 Y 0.345 0.995 0.370
17 Y 0.655 0.005 0.630
18 Y 0.995 0.345 0.870

=====

No. 9
Crystalline AsPbIO6 at its relaxed geometry. Source: the Alexandria database, functional GGA-PBE.

Values from the calculation:
crystal system	trigonal
calculated volume	15.00	A^3/atom
uncorrected energy	-5.19	eV per atom

Cell lengths 5.368, 5.368, 5.411 Å; angles 90.00, 90.00, 120.00 degrees
Fractional coordinates of all 9 atoms:
1 As 0.000 0.000 0.000
2 Pb 0.667 0.333 0.500
3 I 0.333 0.667 0.000
4 O 0.029 0.299 0.201
5 O 0.029 0.729 0.799
6 O 0.271 0.299 0.799
7 O 0.271 0.971 0.201
8 O 0.701 0.729 0.201
9 O 0.701 0.971 0.799

=====

No. 10
Crystalline CdGePb at its relaxed geometry. Source: the Alexandria database, functional GGA-PBE.

Values from the calculation:
crystal system	trigonal
calculated volume	25.08	A^3/atom
energy above the lowest structure with this stoichiometry	66.5	meV per atom

Cell lengths 3.349, 3.349, 7.748 Å; angles 90.00, 90.00, 120.00 degrees
Fractional coordinates of all 3 atoms:
1 Cd 0.000 0.000 0.000
2 Ge 0.333 0.667 0.702
3 Pb 0.667 0.333 0.363

=====

No. 11
Crystalline CsRb3N at its relaxed geometry. Source: the Alexandria database, functional GGA-PBE.

Values from the calculation:
crystal system	cubic
calculated volume	52.13	A^3/atom
energy above the lowest structure with this stoichiometry	0.0	meV per atom

Cell lengths 6.388, 6.388, 6.388 Å; angles 90.00, 90.00, 90.00 degrees
Fractional coordinates of all 5 atoms:
1 Cs 0.000 0.000 0.000
2 Rb 0.000 0.500 0.500
3 Rb 0.500 0.000 0.500
4 Rb 0.500 0.500 0.000
5 N 0.500 0.500 0.500

=====

No. 12
Crystalline Fe2PbAu2 at its relaxed geometry. Source: the Alexandria database, functional GGA-PBE.

Values from the calculation:
crystal system	tetragonal
calculated volume	18.23	A^3/atom
uncorrected energy	-5.17	eV per atom

Cell lengths 7.846, 7.846, 2.960 Å; angles 90.00, 90.00, 90.00 degrees
Fractional coordinates of all 10 atoms:
1 Fe 0.108 0.392 0.000
2 Fe 0.392 0.892 0.000
3 Fe 0.608 0.108 0.000
4 Fe 0.892 0.608 0.000
5 Pb 0.000 0.000 0.000
6 Pb 0.500 0.500 0.000
7 Au 0.179 0.679 0.500
8 Au 0.321 0.179 0.500
9 Au 0.679 0.821 0.500
10 Au 0.821 0.321 0.500

=====

Q: Look up the calculated volume of the eighth one.
A: 33.93 A^3/atom

=====

Q: calculated volume of number 2 (Nb8Ge2C3)?
A: 16.68 A^3/atom

=====

Repeat the fourth record exactly.
Crystalline ScTcP2 at its relaxed geometry. Source: the Alexandria database, functional GGA-PBE.

Values from the calculation:
crystal system	monoclinic
calculated volume	15.18	A^3/atom
energy above the lowest structure with this stoichiometry	180.3	meV per atom

Cell lengths 3.153, 4.369, 4.636 Å; angles 90.00, 108.11, 90.00 degrees
Fractional coordinates of all 4 atoms:
1 Sc 0.000 0.000 0.000
2 Tc 0.729 0.500 0.476
3 P 0.330 0.000 0.546
4 P 0.433 0.500 0.900